The following is a PBE-GGA calculation of a relaxed structure of CrCoSb2, from Alexandria.

Cell: 3.665 3.665 5.375 Å, 90.00 90.00 90.00°
Fractional coordinates of all 4 atoms:
Cr: 0.000 0.000 0.000
Co: 0.500 0.500 0.646
Sb: 0.000 0.000 0.514
Sb: 0.500 0.500 0.139

## Properties
- E_tot: -24.2 eV per cell
- D(E_F): 2.10 states/eV per cell
- Mass density: 8.154 g cm⁻³

---

The following is a PBE-GGA calculation of a relaxed structure of PRuBr, from Alexandria.

Cell: 6.769 6.767 2.976 Å, 77.34 77.26 25.40°
Fractional coordinates of all 3 atoms:
P: 0.000 0.000 0.000
Ru: 0.403 0.403 0.597
Br: 0.745 0.745 0.255

## Properties
- D(E_F): 2.37 states/eV per cell
- Mass density: 6.179 g cm⁻³
- Excess energy over the best structure of this formula in the dataset: 494 meV per atom

---

The following is a PBE-GGA calculation of a relaxed structure of HfZnGe2As, from Alexandria.

Cell: 4.559 4.559 5.304 Å, 90.00 90.00 90.00°
Fractional coordinates of all 5 atoms:
Hf: 0.000 0.000 0.000
Zn: 0.000 0.000 0.500
Ge: 0.000 0.500 0.500
Ge: 0.500 0.000 0.500
As: 0.500 0.500 0.000

## Properties
- ΔE_f: 599 meV per atom
- D(E_F): 4.17 states/eV per cell
- Mass density: 6.991 g cm⁻³

---

The following is a PBE-GGA calculation of a relaxed structure of YHN3, from Alexandria.

Cell: 3.514 3.514 3.514 Å, 90.00 90.00 90.00°
Fractional coordinates of all 5 atoms:
Y: 0.000 0.000 0.000
H: 0.500 0.500 0.500
N: 0.000 0.500 0.500
N: 0.500 0.000 0.500
N: 0.500 0.500 0.000

## Properties
- E_tot: -30.0 eV per cell
- D(E_F): 1.69 states/eV per cell
- Mass density: 5.048 g cm⁻³

---

The following is a PBE-GGA calculation of a relaxed structure of La3DyAl2, from Alexandria.

Cell: 5.284 9.924 6.775 Å, 90.00 90.00 90.00°
Fractional coordinates of all 12 atoms:
La: 0.000 0.047 0.000
La: 0.000 0.331 0.338
La: 0.000 0.669 0.838
La: 0.000 0.953 0.500
La: 0.500 0.178 0.726
La: 0.500 0.822 0.226
Dy: 0.500 0.452 0.053
Dy: 0.500 0.548 0.553
Al: 0.000 0.356 0.827
Al: 0.000 0.644 0.327
Al: 0.500 0.151 0.238
Al: 0.500 0.849 0.738

## Properties
- ΔE_f: -261 meV per atom
- D(E_F): 14.06 states/eV per cell
- Mass density: 5.920 g cm⁻³

---

The following is a PBE-GGA calculation of a relaxed structure of Nd4Au2O9, from Alexandria.

Cell: 12.059 6.212 12.072 Å, 90.00 90.00 90.00°
Fractional coordinates of all 60 atoms:
Nd: 0.011 0.242 0.089
Nd: 0.011 0.758 0.589
Nd: 0.160 0.196 0.764
Nd: 0.160 0.804 0.264
Nd: 0.340 0.304 0.264
Nd: 0.340 0.696 0.764
Nd: 0.489 0.258 0.589
Nd: 0.489 0.742 0.089
Nd: 0.511 0.258 0.911
Nd: 0.511 0.742 0.411
Nd: 0.660 0.304 0.236
Nd: 0.660 0.696 0.736
Nd: 0.840 0.196 0.736
Nd: 0.840 0.804 0.236
Nd: 0.989 0.242 0.411
Nd: 0.989 0.758 0.911
Au: 0.229 0.420 0.511
Au: 0.229 0.580 0.011
Au: 0.271 0.080 0.011
Au: 0.271 0.920 0.511
Au: 0.729 0.080 0.489
Au: 0.729 0.920 0.989
Au: 0.771 0.420 0.989
Au: 0.771 0.580 0.489
O: 0.000 0.024 0.250
O: 0.000 0.976 0.750
O: 0.077 0.389 0.588
O: 0.077 0.611 0.088
O: 0.115 0.061 0.946
O: 0.115 0.939 0.446
O: 0.164 0.441 0.352
O: 0.164 0.559 0.852
O: 0.197 0.125 0.159
O: 0.197 0.875 0.659
O: 0.303 0.375 0.659
O: 0.303 0.625 0.159
O: 0.336 0.059 0.852
O: 0.336 0.941 0.352
O: 0.385 0.439 0.446
O: 0.385 0.561 0.946
O: 0.423 0.111 0.088
O: 0.423 0.889 0.588
O: 0.500 0.476 0.750
O: 0.500 0.524 0.250
O: 0.577 0.111 0.412
O: 0.577 0.889 0.912
O: 0.615 0.439 0.054
O: 0.615 0.561 0.554
O: 0.664 0.059 0.648
O: 0.664 0.941 0.148
O: 0.697 0.375 0.841
O: 0.697 0.625 0.341
O: 0.803 0.125 0.341
O: 0.803 0.875 0.841
O: 0.836 0.441 0.148
O: 0.836 0.559 0.648
O: 0.885 0.061 0.554
O: 0.885 0.939 0.054
O: 0.923 0.389 0.912
O: 0.923 0.611 0.412

## Properties
- E_tot: -421.8 eV per cell
- D(E_F): 0.00 states/eV per cell
- Mass density: 8.188 g cm⁻³

---

The following is a PBE-GGA calculation of a relaxed structure of LaTaZnIr2, from Alexandria.

Cell: 4.861 4.861 4.945 Å, 90.00 90.00 90.00°
Fractional coordinates of all 5 atoms:
La: 0.000 0.000 0.000
Ta: 0.500 0.500 0.500
Zn: 0.500 0.500 0.000
Ir: 0.000 0.500 0.500
Ir: 0.500 0.000 0.500

## Properties
- ΔE_f: 258 meV per atom
- D(E_F): 4.35 states/eV per cell
- Mass density: 10.936 g cm⁻³

---

The following is a PBE-GGA calculation of a relaxed structure of LiAl6Ni, from Alexandria.

Cell: 5.963 5.963 5.141 Å, 107.26 107.26 116.39°
Fractional coordinates of all 8 atoms:
Li: 0.000 0.000 0.000
Al: 0.053 0.467 0.253
Al: 0.256 0.256 0.717
Al: 0.467 0.053 0.253
Al: 0.533 0.947 0.747
Al: 0.744 0.744 0.283
Al: 0.947 0.533 0.747
Ni: 0.500 0.500 0.500

## Properties
- ΔE_f: 61 meV per atom
- D(E_F): 2.86 states/eV per cell
- Mass density: 2.792 g cm⁻³

---

The following is a PBE-GGA calculation of a relaxed structure of KReAu2, from Alexandria.

Cell: 2.744 4.112 7.649 Å, 90.00 90.00 90.00°
Fractional coordinates of all 4 atoms:
K: 0.000 0.000 0.000
Re: 0.000 0.000 0.500
Au: 0.500 0.500 0.315
Au: 0.500 0.500 0.685

## Properties
- ΔE_f: 482 meV per atom
- D(E_F): 1.92 states/eV per cell
- Mass density: 11.911 g cm⁻³
- Excess energy over the best structure of this formula in the dataset: 0 meV per atom

---

The following is a PBE-GGA calculation of a relaxed structure of NaZr2Rh2, from Alexandria.

Cell: 7.889 7.889 3.162 Å, 90.00 90.00 90.00°
Fractional coordinates of all 10 atoms:
Na: 0.000 0.000 0.000
Na: 0.500 0.500 0.000
Zr: 0.151 0.349 0.500
Zr: 0.349 0.849 0.500
Zr: 0.651 0.151 0.500
Zr: 0.849 0.651 0.500
Rh: 0.139 0.639 0.000
Rh: 0.361 0.139 0.000
Rh: 0.639 0.861 0.000
Rh: 0.861 0.361 0.000

## Properties
- ΔE_f: -436 meV per atom
- D(E_F): 8.40 states/eV per cell
- Mass density: 6.941 g cm⁻³
- Excess energy over the best structure of this formula in the dataset: 0 meV per atom

---

The following is a PBE-GGA calculation of a relaxed structure of YTa2Cl, from Alexandria.

Cell: 5.704 5.704 5.704 Å, 147.31 119.61 70.39°
Fractional coordinates of all 4 atoms:
Y: 0.000 0.000 0.000
Ta: 0.300 0.800 0.500
Ta: 0.540 0.540 0.000
Cl: 0.749 0.249 0.500

## Properties
- D(E_F): 4.34 states/eV per cell
- Mass density: 9.404 g cm⁻³
- Excess energy over the best structure of this formula in the dataset: 572 meV per atom

---

The following is a PBE-GGA calculation of a relaxed structure of CoC7, from Alexandria.

Cell: 4.371 4.371 4.371 Å, 60.00 60.00 60.00°
Fractional coordinates of all 8 atoms:
Co: 0.000 0.000 0.000
C: 0.000 0.000 0.500
C: 0.000 0.500 0.000
C: 0.000 0.500 0.500
C: 0.500 0.000 0.000
C: 0.500 0.000 0.500
C: 0.500 0.500 0.000
C: 0.500 0.500 0.500

## Properties
- ΔE_f: 3690 meV per atom
- D(E_F): 3.57 states/eV per cell
- Mass density: 4.023 g cm⁻³